The following is a DFT calculation (PBE with a Hubbard U) of crystalline FeOsF2 at its relaxed geometry.

Computed properties:
energy above the most stable polymorph in this dataset	0.743	eV per atom

Cell: 5.6358 5.6358 6.1213 Å, 62.59 62.59 90.00°
Site moments in Bohr magnetons follow the coordinates.
Fractional coordinates of all 8 atoms:
Fe 0.5000 0.5000 0.0000  3.79
Fe 0.2500 0.7500 0.5000  3.79
Os 0.0000 0.0000 0.0000  3.16
Os 0.7500 0.2500 0.5000  3.15
F 0.8750 0.7524 0.7500  0.10
F 0.5024 0.1250 0.2500  0.10
F 0.2476 0.6250 0.2500  0.10
F 0.3750 0.4976 0.7500  0.10